# 1
# Sr20P12Br3O48F, optimized geometry, DFT PBEsol
# ρ in kg/m³: 4317
# Uncorrected formation energy in eV/atom: -2.93
data_Sr20P12Br3O48F
_cell_length_a 9.8735
_cell_length_b 9.8735
_cell_length_c 14.3548
_cell_angle_alpha 90.00
_cell_angle_beta 90.00
_cell_angle_gamma 120.00
_symmetry_space_group_name_H-M 'P -3'
_symmetry_Int_Tables_number 147
_symmetry_space_group_name_Hall '-P 3'
loop_
_atom_site_label
_atom_site_type_symbol
_atom_site_fract_x
_atom_site_fract_y
_atom_site_fract_z
_atom_site_occupancy
Sr1 Sr 0.0070 0.2520 0.3807 1
Sr2 Sr 0.0096 0.2644 0.8750 1
Sr3 Sr 0.3333 0.6667 0.2510 1
Sr4 Sr 0.3333 0.6667 0.4975 1
Sr5 Sr 0.3333 0.6667 0.7480 1
Sr6 Sr 0.3333 0.6667 0.9995 1
P1 P 0.0343 0.4072 0.6255 1
P2 P 0.0358 0.4062 0.1264 1
Br1 Br 0.0000 0.0000 0.0000 1
Br2 Br 0.0000 0.0000 0.2526 1
O1 O 0.0855 0.3451 0.5411 1
O2 O 0.0893 0.3548 0.2143 1
O3 O 0.0917 0.3559 0.0388 1
O4 O 0.0942 0.3666 0.7150 1
O5 O 0.1193 0.5887 0.6185 1
O6 O 0.1238 0.5885 0.1257 1
O7 O 0.1440 0.6619 0.8749 1
O8 O 0.1459 0.6649 0.3744 1
F1 F 0.0000 0.0000 0.5000 1



# 2
# CdTe, optimized geometry, DFT PBEsol
# ρ in kg/m³: 5846
# Uncorrected formation energy in eV/atom: -0.38
data_CdTe
_cell_length_a 6.4849
_cell_length_b 6.4849
_cell_length_c 6.4849
_cell_angle_alpha 90.00
_cell_angle_beta 90.00
_cell_angle_gamma 90.00
_symmetry_space_group_name_H-M 'F -4 3 m'
_symmetry_Int_Tables_number 216
_symmetry_space_group_name_Hall 'F -4 2 3'
loop_
_atom_site_label
_atom_site_type_symbol
_atom_site_fract_x
_atom_site_fract_y
_atom_site_fract_z
_atom_site_occupancy
Cd1 Cd 0.0000 0.0000 0.0000 1
Te1 Te 0.2500 0.2500 0.2500 1



# 3
# LiSe2Cl, optimized geometry, DFT PBEsol
# Energy above the lowest structure with this stoichiometry in meV/atom: 0.0
# ρ in kg/m³: 3493
# Uncorrected formation energy in eV/atom: -0.75
data_LiSe2Cl
_cell_length_a 3.4974
_cell_length_b 3.5301
_cell_length_c 15.4271
_cell_angle_alpha 90.00
_cell_angle_beta 90.00
_cell_angle_gamma 90.00
_symmetry_space_group_name_H-M 'I m m m'
_symmetry_Int_Tables_number 71
_symmetry_space_group_name_Hall '-I 2 2'
loop_
_atom_site_label
_atom_site_type_symbol
_atom_site_fract_x
_atom_site_fract_y
_atom_site_fract_z
_atom_site_occupancy
Li1 Li 0.0000 0.0000 0.0000 1
Se1 Se 0.0000 0.5000 0.2749 1
Cl1 Cl 0.0000 0.0000 0.5000 1



# 4
# SnHg2Bi, optimized geometry, DFT PBEsol
# ρ in kg/m³: 11218
# Energy of formation from the pure elements in eV per formula unit: 0.22
data_SnHg2Bi
_cell_length_a 4.3951
_cell_length_b 4.3951
_cell_length_c 22.3411
_cell_angle_alpha 90.00
_cell_angle_beta 90.00
_cell_angle_gamma 90.00
_symmetry_space_group_name_H-M 'I -4 2 d'
_symmetry_Int_Tables_number 122
_symmetry_space_group_name_Hall 'I -4 2bw'
loop_
_atom_site_label
_atom_site_type_symbol
_atom_site_fract_x
_atom_site_fract_y
_atom_site_fract_z
_atom_site_occupancy
Sn1 Sn 0.0000 0.0000 0.0000 1
Hg1 Hg 0.2425 0.2500 0.1250 1
Bi1 Bi 0.0000 0.0000 0.5000 1



# 5
# Eu2N, optimized geometry, DFT PBEsol
# ρ in kg/m³: 7972
# Uncorrected formation energy in eV/atom: -0.82
data_Eu2N
_cell_length_a 6.0817
_cell_length_b 6.0817
_cell_length_c 3.5809
_cell_angle_alpha 90.00
_cell_angle_beta 90.00
_cell_angle_gamma 90.00
_symmetry_space_group_name_H-M 'P 42/m n m'
_symmetry_Int_Tables_number 136
_symmetry_space_group_name_Hall '-P 4n 2n'
loop_
_atom_site_label
_atom_site_type_symbol
_atom_site_fract_x
_atom_site_fract_y
_atom_site_fract_z
_atom_site_occupancy
Eu1 Eu 0.1976 0.1976 0.0000 1
N1 N 0.0000 0.0000 0.5000 1



# 6
# CsTaTeN2, optimized geometry, DFT PBEsol
# ρ in kg/m³: 6781
# Uncorrected formation energy in eV/atom: 2.65
data_CsTaTeN2
_cell_length_a 4.1994
_cell_length_b 4.1994
_cell_length_c 6.5187
_cell_angle_alpha 90.00
_cell_angle_beta 90.00
_cell_angle_gamma 90.00
_symmetry_space_group_name_H-M 'P 4/m m m'
_symmetry_Int_Tables_number 123
_symmetry_space_group_name_Hall '-P 4 2'
loop_
_atom_site_label
_atom_site_type_symbol
_atom_site_fract_x
_atom_site_fract_y
_atom_site_fract_z
_atom_site_occupancy
Cs1 Cs 0.0000 0.0000 0.0000 1
Ta1 Ta 0.5000 0.5000 0.5000 1
Te1 Te 0.0000 0.0000 0.5000 1
N1 N 0.0000 0.5000 0.0000 1



# 7
# ZnNi2Ir, optimized geometry, DFT PBEsol
# ρ in kg/m³: 12876
# Energy of formation from the pure elements in eV per formula unit: -0.16
data_ZnNi2Ir
_cell_length_a 8.4015
_cell_length_b 2.6644
_cell_length_c 4.4032
_cell_angle_alpha 90.00
_cell_angle_beta 101.10
_cell_angle_gamma 90.00
_symmetry_space_group_name_H-M 'C 1 2/m 1'
_symmetry_Int_Tables_number 12
_symmetry_space_group_name_Hall '-C 2y'
loop_
_atom_site_label
_atom_site_type_symbol
_atom_site_fract_x
_atom_site_fract_y
_atom_site_fract_z
_atom_site_occupancy
Zn1 Zn 0.0000 0.0000 0.0000 1
Ni1 Ni 0.2473 0.0000 0.7439 1
Ir1 Ir 0.0000 0.5000 0.5000 1



# 8
# La2MoW, optimized geometry, DFT PBEsol
# Energy above the lowest structure with this stoichiometry in meV/atom: 0.0
# ρ in kg/m³: 9758
# Energy of formation from the pure elements in eV per formula unit: 1.24
data_La2MoW
_cell_length_a 3.2559
_cell_length_b 3.2559
_cell_length_c 8.9515
_cell_angle_alpha 90.00
_cell_angle_beta 90.00
_cell_angle_gamma 90.00
_symmetry_space_group_name_H-M 'P 4 m m'
_symmetry_Int_Tables_number 99
_symmetry_space_group_name_Hall 'P 4 -2'
loop_
_atom_site_label
_atom_site_type_symbol
_atom_site_fract_x
_atom_site_fract_y
_atom_site_fract_z
_atom_site_occupancy
La1 La 0.0000 0.0000 0.0000 1
La2 La 0.5000 0.5000 0.3738 1
Mo1 Mo 0.0000 0.0000 0.6105 1
W1 W 0.5000 0.5000 0.7573 1



# 9
# BaCr2Mo, optimized geometry, DFT PBEsol
# Energy above the lowest structure with this stoichiometry in meV/atom: 4.2
# ρ in kg/m³: 7520
# Energy of formation from the pure elements in eV per formula unit: 3.43
data_BaCr2Mo
_cell_length_a 3.0280
_cell_length_b 3.0280
_cell_length_c 8.1226
_cell_angle_alpha 90.00
_cell_angle_beta 90.00
_cell_angle_gamma 90.00
_symmetry_space_group_name_H-M 'P 4 m m'
_symmetry_Int_Tables_number 99
_symmetry_space_group_name_Hall 'P 4 -2'
loop_
_atom_site_label
_atom_site_type_symbol
_atom_site_fract_x
_atom_site_fract_y
_atom_site_fract_z
_atom_site_occupancy
Ba1 Ba 0.0000 0.0000 0.0000 1
Cr1 Cr 0.0000 0.0000 0.5151 1
Cr2 Cr 0.5000 0.5000 0.6651 1
Mo1 Mo 0.5000 0.5000 0.3430 1



# 10
# Cr2SiBr, optimized geometry, DFT PBEsol
# Energy above the lowest structure with this stoichiometry in meV/atom: 615.6
# ρ in kg/m³: 5623
# Uncorrected formation energy in eV/atom: 0.88
data_Cr2SiBr
_cell_length_a 6.3030
_cell_length_b 6.3030
_cell_length_c 6.3030
_cell_angle_alpha 90.00
_cell_angle_beta 90.00
_cell_angle_gamma 90.00
_symmetry_space_group_name_H-M 'F -4 3 m'
_symmetry_Int_Tables_number 216
_symmetry_space_group_name_Hall 'F -4 2 3'
loop_
_atom_site_label
_atom_site_type_symbol
_atom_site_fract_x
_atom_site_fract_y
_atom_site_fract_z
_atom_site_occupancy
Cr1 Cr 0.0000 0.0000 0.0000 1
Cr2 Cr 0.2500 0.2500 0.2500 1
Si1 Si 0.0000 0.0000 0.5000 1
Br1 Br 0.2500 0.2500 0.7500 1



# 11
# CeO2, optimized geometry, DFT PBEsol
# ρ in kg/m³: 7276
# Uncorrected formation energy in eV/atom: -3.48
data_CeO2
_cell_length_a 5.3960
_cell_length_b 5.3960
_cell_length_c 5.3960
_cell_angle_alpha 90.00
_cell_angle_beta 90.00
_cell_angle_gamma 90.00
_symmetry_space_group_name_H-M 'F m -3 m'
_symmetry_Int_Tables_number 225
_symmetry_space_group_name_Hall '-F 4 2 3'
loop_
_atom_site_label
_atom_site_type_symbol
_atom_site_fract_x
_atom_site_fract_y
_atom_site_fract_z
_atom_site_occupancy
Ce1 Ce 0.0000 0.0000 0.0000 1
O1 O 0.2500 0.2500 0.2500 1



# 12
# Nd5Si3, optimized geometry, DFT PBEsol
# Energy above the lowest structure with this stoichiometry in meV/atom: 0.0
# ρ in kg/m³: 6617
# Uncorrected formation energy in eV/atom: -0.63
data_Nd5Si3
_cell_length_a 7.7400
_cell_length_b 7.7400
_cell_length_c 13.4957
_cell_angle_alpha 90.00
_cell_angle_beta 90.00
_cell_angle_gamma 90.00
_symmetry_space_group_name_H-M 'I 4/m c m'
_symmetry_Int_Tables_number 140
_symmetry_space_group_name_Hall '-I 4 2c'
loop_
_atom_site_label
_atom_site_type_symbol
_atom_site_fract_x
_atom_site_fract_y
_atom_site_fract_z
_atom_site_occupancy
Nd1 Nd 0.0000 0.0000 0.0000 1
Nd2 Nd 0.1789 0.3211 0.1473 1
Si1 Si 0.0000 0.0000 0.2500 1
Si2 Si 0.1146 0.3854 0.5000 1